Record 1
Here is a relaxed ReMo crystal from the Alexandria database. Energies are from PBE.

```
data_ReMo
_chemical_formula_sum 'Re4 Mo4'
_cell_length_a 5.2333
_cell_length_b 5.2333
_cell_length_c 5.0063
_cell_angle_alpha 90.00
_cell_angle_beta 90.00
_cell_angle_gamma 90.00
_space_group_name_H-M_alt 'P 42/m n m'
_space_group_IT_number 136
_space_group_name_Hall '-P 4n 2n'
loop_
_atom_site_label
_atom_site_fract_x
_atom_site_fract_y
_atom_site_fract_z
Re1 0.1912 0.1912 0.0000
Mo1 0.1950 0.1950 0.5000
```

Calculated values
- ΔH_f (0 K) (eV per atom) = 1.122
- density of states at the Fermi level (states/eV/cell) = 8.0
- distance to the lowest polymorph of the same formula (meV per atom) = 1029.8
- M_tot (Bohr magnetons per cell) = 0.0
- raw total energy (eV per cell) = -84.14

=====

Record 2
Here is a relaxed HfTaTcPt crystal from the Alexandria database. Energies are from PBE.

```
data_HfTaTcPt
_chemical_formula_sum 'Hf4 Ta4 Tc4 Pt4'
_cell_length_a 6.5035
_cell_length_b 6.5035
_cell_length_c 6.5035
_cell_angle_alpha 90.00
_cell_angle_beta 90.00
_cell_angle_gamma 90.00
_space_group_name_H-M_alt 'F -4 3 m'
_space_group_IT_number 216
_space_group_name_Hall 'F -4 2 3'
loop_
_atom_site_label
_atom_site_fract_x
_atom_site_fract_y
_atom_site_fract_z
Hf1 0.0000 0.0000 0.0000
Ta1 0.0000 0.0000 0.5000
Tc1 0.2500 0.2500 0.7500
Pt1 0.2500 0.2500 0.2500
```

Calculated values
- ΔH_f (0 K) (eV per atom) = -0.540
- density of states at the Fermi level (states/eV/cell) = 14.5
- M_tot (Bohr magnetons per cell) = 0.0
- raw total energy (eV per cell) = -161.48

=====

Record 3
Here is a relaxed BaHoMnSe4 crystal from the Alexandria database. Energies are from PBE.

```
data_BaHoMnSe4
_chemical_formula_sum 'Ba2 Ho2 Mn2 Se8'
_cell_length_a 6.8684
_cell_length_b 6.5357
_cell_length_c 8.9477
_cell_angle_alpha 90.00
_cell_angle_beta 107.88
_cell_angle_gamma 90.00
_space_group_name_H-M_alt 'P 1 21/m 1'
_space_group_IT_number 11
loop_
_space_group_symop_operation_xyz
'x,y,z'
'-x,-y,-z'
'-x,y+1/2,-z'
'x,-y+1/2,z'
loop_
_atom_site_label
_atom_site_fract_x
_atom_site_fract_y
_atom_site_fract_z
Ba1 0.2497 0.2500 0.0587
Ho1 0.2447 0.2500 0.5573
Mn1 0.2359 0.7500 0.3262
Se1 0.0182 0.5111 0.7163
Se2 0.4255 0.7500 0.1398
Se3 0.4391 0.7500 0.5934
```

Calculated values
- density of states at the Fermi level (states/eV/cell) = 3.8
- M_tot (Bohr magnetons per cell) = 8.0
- raw total energy (eV per cell) = -78.32
- E_form (uncorrected) (meV/atom) = -1364.8

=====

Record 4
Here is a relaxed MnPtAu2 crystal from the Alexandria database. Energies are from PBE.

```
data_MnPtAu2
_chemical_formula_sum 'Mn4 Pt4 Au8'
_cell_length_a 5.7319
_cell_length_b 5.7338
_cell_length_c 8.5915
_cell_angle_alpha 90.00
_cell_angle_beta 109.45
_cell_angle_gamma 90.00
_space_group_name_H-M_alt 'C 1 2/m 1'
_space_group_IT_number 12
loop_
_space_group_symop_operation_xyz
'x,y,z'
'-x,-y,-z'
'-x,y,-z'
'x,-y,z'
'x+1/2,y+1/2,z'
'-x+1/2,-y+1/2,-z'
'-x+1/2,y+1/2,-z'
'x+1/2,-y+1/2,z'
loop_
_atom_site_label
_atom_site_fract_x
_atom_site_fract_y
_atom_site_fract_z
Mn1 0.1381 0.0000 0.2752
Pt1 0.0000 0.2500 0.5000
Au1 0.1262 0.5000 0.2521
Au2 0.2500 0.2500 0.0000
```

Calculated values
- ΔH_f (0 K) (eV per atom) = -0.168
- density of states at the Fermi level (states/eV/cell) = 5.2
- M_tot (Bohr magnetons per cell) = 17.7
- raw total energy (eV per cell) = -89.75